[1]
Below is crystalline CsRbCu2Sn at its relaxed geometry, with properties calculated at the PBE level.

Lattice parameters (Å, degrees): 5.2036 5.2036 6.6076 90.00 90.00 90.00
Closest atoms and distances in Å follow each position.
Element x y z (fractional)
Cs1 0.0000 0.0000 0.0000  4 Rb 3.68
Rb1 0.5000 0.5000 0.0000  2 Sn 3.30, 4 Cs 3.68
Cu1 0.0000 0.5000 0.5000  2 Sn 2.60
Cu2 0.5000 0.0000 0.5000  2 Sn 2.60
Sn1 0.5000 0.5000 0.5000  4 Cu 2.60

**ΔH_f (0 K)**: 348 meV/atom
**SG**: P4/mmm (123)

[2]
Below is crystalline CsRbSr2Cu at its relaxed geometry, with properties calculated at the PBE level.

Lattice parameters (Å, degrees): 6.2718 6.2718 7.2570 90.00 90.00 90.00
Closest atoms and distances in Å follow each position.
Element x y z (fractional)
Cs1 0.0000 0.0000 0.0000  4 Rb 4.43, 8 Sr 4.80
Rb1 0.5000 0.5000 0.0000  2 Cu 3.63
Sr1 0.0000 0.5000 0.5000  2 Cu 3.14
Sr2 0.5000 0.0000 0.5000  2 Cu 3.14
Cu1 0.5000 0.5000 0.5000  4 Sr 3.14

**ΔH_f (0 K)**: 159 meV/atom
**SG**: P4/mmm (123)

| no. | D(E_F) (states/eV/atom) | V (Å³ per cell) |
| --- | --- | --- |
| 1 | 0.26 | 179 |
| 2 | 1.11 | 285 |